This record from Alexandria describes a relaxed Cu2HgTe2 crystal. The functional is GGA-PBE.

Lattice parameters (Å, degrees): 5.251 5.251 5.977 63.94 63.94 90.00
Fractional positions:
Te  0.250  0.750  0.500
Te  0.750  0.250  0.500
Hg  0.000  0.000  0.000
Cu  0.299  0.299  0.402
Cu  0.701  0.701  0.598

## Properties
Crystal system: tetragonal
Formation energy without anion corrections, eV per atom: 0.18
Total magnetization, μB/cell: 0.0
Offset from the most stable computed form, meV/atom: 217


This record from Alexandria describes a relaxed TmGaPt2 crystal. The functional is GGA-PBE.

Lattice parameters (Å, degrees): 5.539 7.232 14.375 90.00 90.00 90.00
Fractional positions:
Pt  0.767  0.547  0.532
Pt  0.733  0.953  0.032
Pt  0.767  0.953  0.532
Pt  0.733  0.547  0.032
Pt  0.521  0.052  0.717
Pt  0.521  0.448  0.717
Pt  0.979  0.448  0.217
Pt  0.479  0.948  0.283
Pt  0.267  0.047  0.968
Pt  0.479  0.552  0.283
Pt  0.267  0.453  0.968
Pt  0.021  0.552  0.783
Pt  0.233  0.047  0.468
Pt  0.979  0.052  0.217
Pt  0.021  0.948  0.783
Pt  0.233  0.453  0.468
Ga  0.485  0.750  0.434
Ga  0.264  0.250  0.319
Ga  0.764  0.750  0.181
Ga  0.736  0.750  0.681
Ga  0.236  0.250  0.819
Ga  0.015  0.750  0.934
Ga  0.985  0.250  0.066
Ga  0.515  0.250  0.566
Tm  0.230  0.750  0.613
Tm  0.270  0.750  0.113
Tm  0.495  0.250  0.136
Tm  0.505  0.750  0.864
Tm  0.005  0.250  0.636
Tm  0.770  0.250  0.387
Tm  0.730  0.250  0.887
Tm  0.995  0.750  0.364

## Properties
Crystal system: orthorhombic
Total magnetization, μB/cell: 0.0
Formation enthalpy at 0 K, eV/f.u.: -4.28


This record from Alexandria describes a relaxed Ac2Be3ZnSi4 crystal. The functional is GGA-PBE.

Lattice parameters (Å, degrees): 4.272 4.272 9.753 90.00 90.00 90.00
Fractional positions:
Zn  0.500  0.500  0.500
Ac  0.000  0.500  0.756
Ac  0.500  0.000  0.244
Be  0.000  0.000  0.500
Be  0.000  0.500  0.117
Be  0.500  0.000  0.883
Si  0.000  0.500  0.364
Si  0.000  0.000  0.000
Si  0.500  0.500  0.000
Si  0.500  0.000  0.636

## Properties
Crystal system: tetragonal
Formation energy without anion corrections, eV per atom: -0.30
Total magnetization, μB/cell: 0.0


This record from Alexandria describes a relaxed CuAgOs2 crystal. The functional is GGA-PBE.

Lattice parameters (Å, degrees): 3.687 3.687 4.348 90.00 90.00 90.00
Fractional positions:
Ag  0.500  0.000  0.500
Os  0.000  0.000  0.000
Os  0.500  0.500  0.000
Cu  0.000  0.500  0.500

## Properties
Crystal system: tetragonal
Total magnetization, μB/cell: 0.0
Formation enthalpy at 0 K, eV/f.u.: 3.04
Offset from the most stable computed form, meV/atom: 451


This record from Alexandria describes a relaxed Cd3PbSe crystal. The functional is GGA-PBE.

Lattice parameters (Å, degrees): 5.391 5.391 5.391 90.00 90.00 90.00
Fractional positions:
Cd  0.500  0.000  0.000
Cd  0.000  0.000  0.500
Cd  0.000  0.500  0.000
Pb  0.500  0.500  0.500
Se  0.000  0.000  0.000

## Properties
Crystal system: cubic
Formation energy without anion corrections, eV per atom: 0.30
Total magnetization, μB/cell: 0.0
Offset from the most stable computed form, meV/atom: 0


This record from Alexandria describes a relaxed BaCrTe2 crystal. The functional is GGA-PBE.

Lattice parameters (Å, degrees): 8.243 8.243 7.069 54.34 54.34 90.00
Fractional positions:
Te  0.202  0.625  0.250
Te  0.875  0.798  0.750
Te  0.548  0.125  0.250
Te  0.375  0.452  0.750
Ba  0.750  0.250  0.500
Ba  0.000  0.000  0.000
Cr  0.500  0.500  0.000
Cr  0.250  0.750  0.500

## Properties
Crystal system: tetragonal
Formation energy without anion corrections, eV per atom: -0.78
Total magnetization, μB/cell: 8.0


This record from Alexandria describes a relaxed ScHgB crystal. The functional is GGA-PBE.

Lattice parameters (Å, degrees): 7.541 4.832 3.216 90.00 64.68 89.83
Fractional positions:
B  0.323  0.710  0.554
B  0.267  0.709  0.110
Sc  0.607  0.707  0.769
Sc  0.248  0.209  0.126
Hg  0.713  0.206  0.163
Hg  0.969  0.705  0.905

## Properties
Crystal system: triclinic
Total magnetization, μB/cell: 0.7
Formation enthalpy at 0 K, eV/f.u.: -0.43
Offset from the most stable computed form, meV/atom: 370


This record from Alexandria describes a relaxed Pm5Sn6Ge crystal. The functional is GGA-PBE.

Lattice parameters (Å, degrees): 8.002 8.777 6.729 49.30 85.08 82.45
Fractional positions:
Ge  0.000  0.000  0.000
Pm  0.500  0.161  0.678
Pm  0.500  0.500  0.000
Pm  0.500  0.839  0.322
Pm  0.000  0.303  0.393
Pm  0.000  0.697  0.607
Sn  0.745  0.092  0.321
Sn  0.218  0.242  0.000
Sn  0.255  0.587  0.321
Sn  0.255  0.908  0.679
Sn  0.745  0.413  0.679
Sn  0.782  0.758  0.000

## Properties
Crystal system: monoclinic
Total magnetization, μB/cell: 0.0
Formation enthalpy at 0 K, eV/f.u.: -5.06


This record from Alexandria describes a relaxed Cs3Ga2P2 crystal. The functional is GGA-PBE.

Lattice parameters (Å, degrees): 5.942 3.995 10.674 100.79 106.16 90.00
Fractional positions:
Cs  0.187  0.687  0.373
Cs  0.000  0.000  0.000
Cs  0.813  0.313  0.627
P  0.627  0.127  0.255
P  0.373  0.873  0.745
Ga  0.562  0.562  0.123
Ga  0.438  0.438  0.877

## Properties
Crystal system: orthorhombic
Total magnetization, μB/cell: 0.0
Formation enthalpy at 0 K, eV/f.u.: -2.37


This record from Alexandria describes a relaxed YHfCu10 crystal. The functional is GGA-PBE.

Lattice parameters (Å, degrees): 4.088 4.970 8.549 90.00 90.00 90.00
Fractional positions:
Hf  0.000  0.500  0.500
Cu  0.000  0.500  0.176
Cu  0.000  0.000  0.659
Cu  0.000  0.000  0.341
Cu  0.500  0.746  0.257
Cu  0.500  0.254  0.743
Cu  0.500  0.746  0.743
Cu  0.500  0.000  0.500
Cu  0.500  0.500  0.000
Cu  0.500  0.254  0.257
Cu  0.000  0.500  0.824
Y  0.000  0.000  0.000

## Properties
Crystal system: orthorhombic
Total magnetization, μB/cell: 0.0
Formation enthalpy at 0 K, eV/f.u.: -1.25


This record from Alexandria describes a relaxed Ac2InBi3Pd4 crystal. The functional is GGA-PBE.

Lattice parameters (Å, degrees): 4.785 4.785 11.158 90.00 90.00 90.00
Fractional positions:
Bi  0.500  0.000  0.871
Bi  0.000  0.000  0.500
Bi  0.000  0.500  0.129
Ac  0.500  0.000  0.236
Ac  0.000  0.500  0.764
In  0.500  0.500  0.500
Pd  0.000  0.000  0.000
Pd  0.000  0.500  0.372
Pd  0.500  0.500  0.000
Pd  0.500  0.000  0.628

## Properties
Crystal system: tetragonal
Total magnetization, μB/cell: 0.0
Formation enthalpy at 0 K, eV/f.u.: -6.84


This record from Alexandria describes a relaxed LiPaN2 crystal. The functional is GGA-PBE.

Lattice parameters (Å, degrees): 5.749 5.981 5.743 90.00 103.78 90.00
Fractional positions:
N  0.983  0.258  0.948
N  0.316  0.639  0.563
N  0.684  0.361  0.437
N  0.184  0.139  0.437
N  0.517  0.758  0.052
N  0.816  0.861  0.563
N  0.017  0.742  0.052
N  0.483  0.242  0.948
Pa  0.311  0.432  0.209
Pa  0.189  0.932  0.791
Pa  0.689  0.568  0.791
Pa  0.811  0.068  0.209
Li  0.152  0.380  0.668
Li  0.652  0.120  0.668
Li  0.848  0.620  0.332
Li  0.348  0.880  0.332

## Properties
Crystal system: monoclinic
Formation energy without anion corrections, eV per atom: -1.34
Total magnetization, μB/cell: 0.0
Offset from the most stable computed form, meV/atom: 95


DOS at the Fermi energy readings, ordered: 2.1, 11.8, 2.1, 4.5, 1.2, 1.5, 3.0, 8.5, 2.5, 8.4, 5.2, 0.0 states/eV/cell